VASP calculation (PBE+U) on a relaxed structure of Sr2YAlV2O7.

space-group type	Cm (8)
electronic total energy	-7.436	eV/atom
magnetic moment	6.0	μB per formula unit

extended XYZ file:
```
26
Lattice="-5.102 5.418 -9.140 5.119 -10.278 2.659 -3.596 -3.847 -2.002" Properties=species:S:1:pos:R:3 pbc="T T T"
Sr -4.412 -6.013 -8.049
Sr 0.867 -2.601 -0.369
Sr -2.507 -8.939 -5.849
Sr -1.024 0.303 -2.552
Y -6.061 -1.111 -6.585
Y -0.964 -8.939 -0.700
Al -1.553 -3.251 -2.980
Al -2.104 -5.519 -5.519
V -3.500 -2.750 -7.883
V 0.032 -5.749 -0.572
V 0.071 -8.234 -3.760
V -3.464 -0.379 -4.608
O -3.559 -6.597 -5.694
O -2.311 -4.525 -4.018
O 1.214 -9.375 -0.303
O -6.790 -1.469 -9.194
O -5.292 0.618 -7.814
O -0.332 -11.387 -1.739
O -3.161 -1.347 -6.479
O -1.666 -8.681 -2.843
O 0.493 -6.959 -2.260
O -5.240 -3.192 -6.969
O -2.600 -1.836 -3.105
O -0.723 -6.570 -5.218
O -1.166 -4.039 -1.449
O -2.148 -4.381 -6.863
```